Arrangement 1

Density functional theory data (PBE) for crystalline CdCu5Au4 at its relaxed geometry.

a b c (Å): 14.1818 4.1093 5.5151
angles (deg): 90.00 106.68 90.00
Space group C2/m (No. 12)
One atom of each set of equivalent atoms:
1 Cd 0.0000 0.0000 0.0000
2 Cu 0.0000 0.0000 0.5000
3 Cu 0.0980 0.5000 0.8133
4 Cu 0.1925 0.0000 0.6159
5 Au 0.1030 0.5000 0.3383
6 Au 0.2075 0.0000 0.1234

Calculated values
V ... 15.394 Å³ per atom


Arrangement 2

Density functional theory data (PBE) for crystalline CdCu5Au4 at its relaxed geometry.

a b c (Å): 3.2397 3.2397 14.6256
angles (deg): 90.00 90.00 90.00
Space group P4/mmm (No. 123)
One atom of each set of equivalent atoms:
1 Cd 0.0000 0.0000 0.0000
2 Cu 0.5000 0.5000 0.1072
3 Cu 0.5000 0.5000 0.3027
4 Cu 0.5000 0.5000 0.5000
5 Au 0.0000 0.0000 0.2032
6 Au 0.0000 0.0000 0.4014

Calculated values
V ... 15.350 Å³ per atom


The structure shown above that is most stable: arrangement 1.